An optimized crystal structure of Np3S4. Source: the Alexandria database, functional PBE-GGA.

Calculated values
D(E_F) (states/eV per cell): 20.3
Crystal system: trigonal
Energy above the lowest structure with this stoichiometry (eV per atom): 0.193
Raw total energy (eV/atom): -9.132
Energy relative to the elements, uncorrected (eV per atom): -1.227

abc: 10.6950 10.6950 10.6950
angles: 22.88 22.88 22.88
Positions (direct):
Np1 0.0000 0.0000 0.0000
Np2 0.1046 0.1046 0.1046
Np3 0.8954 0.8954 0.8954
S1 0.1976 0.1976 0.1976
S2 0.3817 0.3817 0.3817
S3 0.6183 0.6183 0.6183
S4 0.8024 0.8024 0.8024

=====

An optimized crystal structure of Np5S6. Source: the Alexandria database, functional PBE-GGA.

Calculated values
D(E_F) (states/eV per cell): 43.5
Crystal system: monoclinic
Raw total energy (eV/atom): -9.452
Energy relative to the elements, uncorrected (eV per atom): -1.318

abc: 6.7522 6.7522 6.7225
angles: 99.63 99.63 119.97
Positions (direct):
Np1 0.0000 0.0000 0.0000
Np2 0.1660 0.8340 0.5000
Np3 0.3352 0.6648 0.0000
Np4 0.6648 0.3352 0.0000
Np5 0.8340 0.1660 0.5000
S1 0.0836 0.4163 0.2533
S2 0.2499 0.2499 0.7488
S3 0.4163 0.0836 0.2533
S4 0.5837 0.9164 0.7467
S5 0.7501 0.7501 0.2512
S6 0.9164 0.5837 0.7467